# 1
Compound: KTl3
Source: Alexandria via LeMat-Bulk
Functional: PBE
Structure: optimized geometry

a = 5.1588 Å, b = 5.1588 Å, c = 4.9429 Å
α = 90.00°, β = 90.00°, γ = 90.00°
Space group P4/mmm (No. 123)
Unique sites:
K 0.0000 0.0000 0.0000 [1 per cell]
Tl 0.0000 0.5000 0.5000 [2 per cell]
Tl 0.5000 0.5000 0.0000 [1 per cell]

## Properties
- size of the total moment (μB/f.u.) = 0.0
- energy of formation from the pure elements (eV/f.u.) = -0.08


# 2
Compound: CdCu8Ni2
Source: Alexandria via LeMat-Bulk
Functional: PBE
Structure: optimized geometry

a = 3.6305 Å, b = 5.8646 Å, c = 6.9053 Å
α = 75.21°, β = 74.85°, γ = 89.94°
Space group P-1 (No. 2)
Unique sites:
Cd 0.0000 0.0000 0.0000 [1 per cell]
Cu 0.0955 0.4635 0.8095 [2 per cell]
Cu 0.1869 0.9116 0.6264 [2 per cell]
Cu 0.2711 0.3633 0.4577 [2 per cell]
Cu 0.4504 0.2845 0.0984 [2 per cell]
Ni 0.3570 0.8055 0.2858 [2 per cell]

## Properties
- size of the total moment (μB/f.u.) = 0.0
- energy of formation from the pure elements (eV/f.u.) = 0.41


# 3
Compound: Nd2MgGa3Ir4
Source: Alexandria via LeMat-Bulk
Functional: PBE
Structure: optimized geometry

a = 4.2441 Å, b = 4.2441 Å, c = 10.6612 Å
α = 90.00°, β = 90.00°, γ = 90.00°
Space group P-4m2 (No. 115)
Unique sites:
Nd 0.0000 0.5000 0.2365 [2 per cell]
Mg 0.0000 0.0000 0.5000 [1 per cell]
Ga 0.0000 0.5000 0.8762 [2 per cell]
Ga 0.5000 0.5000 0.5000 [1 per cell]
Ir 0.0000 0.0000 0.0000 [1 per cell]
Ir 0.0000 0.5000 0.6427 [2 per cell]
Ir 0.5000 0.5000 0.0000 [1 per cell]

## Properties
- size of the total moment (μB/f.u.) = 0.0
- energy of formation from the pure elements (eV/f.u.) = -6.58


# 4
Compound: CrOsRh2
Source: Alexandria via LeMat-Bulk
Functional: PBE
Structure: optimized geometry

a = 2.6905 Å, b = 4.2811 Å, c = 4.7184 Å
α = 90.00°, β = 90.00°, γ = 90.00°
Space group Pmm2 (No. 25)
Unique sites:
Cr 0.0000 0.0000 0.0000 [1 per cell]
Os 0.0000 0.5000 0.6841 [1 per cell]
Rh 0.5000 0.0000 0.5120 [1 per cell]
Rh 0.5000 0.5000 0.1737 [1 per cell]

## Properties
- size of the total moment (μB/f.u.) = 0.0
- energy of formation from the pure elements (eV/f.u.) = -0.25
- excess energy over the best structure of this formula in the dataset (eV per atom) = 0.0000